Density functional theory data (PBE) for TaZnCuOs after structural relaxation.

Computed properties:
size of the total moment = 0.00 μB per cell
DOS at the Fermi energy = 0.641 states/eV per atom
space group = F-43m, No. 216
energy of formation = -1 meV/atom
crystal system = cubic

a b c (Å): 4.3784 4.3784 4.3784
angles (deg): 60.00 60.00 60.00
Sites, in units of the cell vectors:
Zn: 0.5000 0.5000 0.5000
Os: 0.7500 0.7500 0.7500
Cu: 0.2500 0.2500 0.2500
Ta: 0.0000 0.0000 0.0000